Entry 1:
15
Lattice="5.698 0.000 0.000 0.000 5.698 0.000 0.000 0.000 7.774" Properties=species:S:1:pos:R:3 comment="MnSbPd3 PBE optimized geometry" relative_energy_mev_per_atom=0 raw_formation_energy_kcal_per_mol_atoms=-6.98 e_tot_ev_per_atom=-6.077 m_tot_mub_per_fu=4.0 pbc="T T T"
Mn 0.000 0.000 0.000
Mn 0.000 2.849 3.887
Mn 2.849 0.000 3.887
Sb 0.000 2.849 0.000
Sb 2.849 0.000 0.000
Sb 2.849 2.849 3.887
Pd 0.000 0.000 3.887
Pd 1.413 1.413 1.930
Pd 1.413 1.413 5.845
Pd 1.413 4.285 1.930
Pd 1.413 4.285 5.845
Pd 4.285 1.413 1.930
Pd 4.285 1.413 5.845
Pd 4.285 4.285 1.930
Pd 4.285 4.285 5.845

Entry 2:
12
Lattice="6.447 -2.425 0.000 6.447 2.425 0.000 -4.198 0.000 6.492" Properties=species:S:1:pos:R:3 comment="Mn4SbPd7 PBE optimized geometry" raw_formation_energy_kcal_per_mol_atoms=-0.22 e_tot_ev_per_atom=-6.439 m_tot_mub_per_fu=18.0 pbc="T T T"
Mn -0.152 0.000 1.467
Mn -1.106 0.000 5.578
Mn 9.803 0.000 0.914
Mn 8.849 0.000 5.025
Sb 4.348 0.000 3.246
Pd -2.099 0.000 3.246
Pd 2.359 0.000 1.493
Pd 1.149 0.000 4.090
Pd 5.197 0.000 0.580
Pd 3.500 0.000 5.912
Pd 7.548 0.000 2.402
Pd 6.338 0.000 4.999

Entry 3:
3
Lattice="0.000 3.109 3.109 3.109 0.000 3.109 3.109 3.109 0.000" Properties=species:S:1:pos:R:3 comment="MnSbPd PBE optimized geometry" raw_formation_energy_kcal_per_mol_atoms=-6.04 e_tot_ev_per_atom=-6.423 m_tot_mub_per_fu=4.1 pbc="T T T"
Mn 0.000 0.000 0.000
Sb 3.109 3.109 3.109
Pd 1.555 1.555 1.555

Entry 4:
4
Lattice="0.000 3.397 3.397 3.397 0.000 3.397 3.397 3.397 0.000" Properties=species:S:1:pos:R:3 comment="MnSb2Pd PBE optimized geometry" relative_energy_mev_per_atom=4 raw_formation_energy_kcal_per_mol_atoms=0.73 e_tot_ev_per_atom=-5.620 m_tot_mub_per_fu=3.2 pbc="T T T"
Mn 0.000 0.000 0.000
Sb 1.699 1.699 1.699
Sb 5.096 5.096 5.096
Pd 3.397 3.397 3.397